# TmZn4Ge, optimized geometry, DFT PBE
# Formation energy   -118 meV per atom
data_TmZn4Ge
_cell_length_a 7.5425
_cell_length_b 7.5425
_cell_length_c 7.5425
_cell_angle_alpha 90.00
_cell_angle_beta 90.00
_cell_angle_gamma 90.00
_space_group_name_H-M_alt 'F -4 3 m'
_space_group_IT_number 216
_space_group_name_Hall 'F -4 2 3'
loop_
_atom_site_label
_atom_site_fract_x
_atom_site_fract_y
_atom_site_fract_z
Tm1 0.0000 0.0000 0.0000
Zn1 0.1248 0.1248 0.3752
Ge1 0.2500 0.2500 0.7500

# NpBi2Pb, optimized geometry, DFT PBE
# Formation energy   202 meV per atom
# Energy relative to the lowest polymorph listed for this composition   66 kJ/mol of formula units
data_NpBi2Pb
_cell_length_a 4.7709
_cell_length_b 4.7709
_cell_length_c 21.4539
_cell_angle_alpha 90.00
_cell_angle_beta 90.00
_cell_angle_gamma 120.00
_space_group_name_H-M_alt 'R 3 m'
_space_group_IT_number 160
_space_group_name_Hall 'R 3 -2"'
loop_
_atom_site_label
_atom_site_fract_x
_atom_site_fract_y
_atom_site_fract_z
Np1 0.0000 0.0000 0.0000
Bi1 0.0000 0.0000 0.4074
Bi2 0.0000 0.0000 0.5912
Pb1 0.0000 0.0000 0.1724

# LiCdHgBi, optimized geometry, DFT PBE
# Formation energy   -176 meV per atom
data_LiCdHgBi
_cell_length_a 7.2888
_cell_length_b 7.2888
_cell_length_c 7.2888
_cell_angle_alpha 90.00
_cell_angle_beta 90.00
_cell_angle_gamma 90.00
_space_group_name_H-M_alt 'F -4 3 m'
_space_group_IT_number 216
_space_group_name_Hall 'F -4 2 3'
loop_
_atom_site_label
_atom_site_fract_x
_atom_site_fract_y
_atom_site_fract_z
Li1 0.0000 0.0000 0.0000
Cd1 0.0000 0.0000 0.5000
Hg1 0.2500 0.2500 0.2500
Bi1 0.2500 0.2500 0.7500

# NdErZnSn, optimized geometry, DFT PBE
# Formation energy   -494 meV per atom
data_NdErZnSn
_cell_length_a 7.4208
_cell_length_b 7.4208
_cell_length_c 7.4208
_cell_angle_alpha 90.00
_cell_angle_beta 90.00
_cell_angle_gamma 90.00
_space_group_name_H-M_alt 'F -4 3 m'
_space_group_IT_number 216
_space_group_name_Hall 'F -4 2 3'
loop_
_atom_site_label
_atom_site_fract_x
_atom_site_fract_y
_atom_site_fract_z
Nd1 0.0000 0.0000 0.0000
Er1 0.0000 0.0000 0.5000
Zn1 0.2500 0.2500 0.2500
Sn1 0.2500 0.2500 0.7500

# AcHoIn4, optimized geometry, DFT PBE
# Formation energy   -334 meV per atom
# Energy relative to the lowest polymorph listed for this composition   49 kJ/mol of formula units
data_AcHoIn4
_cell_length_a 8.7222
_cell_length_b 8.7222
_cell_length_c 8.7222
_cell_angle_alpha 90.00
_cell_angle_beta 90.00
_cell_angle_gamma 90.00
_space_group_name_H-M_alt 'F -4 3 m'
_space_group_IT_number 216
_space_group_name_Hall 'F -4 2 3'
loop_
_atom_site_label
_atom_site_fract_x
_atom_site_fract_y
_atom_site_fract_z
Ac1 0.0000 0.0000 0.0000
Ho1 0.2500 0.2500 0.7500
In1 0.1248 0.1248 0.3752

# BaAgCl2F, optimized geometry, DFT PBE
# Energy relative to the elements, uncorrected   -1614 meV per atom
# Energy relative to the lowest polymorph listed for this composition   220 kJ/mol of formula units
data_BaAgCl2F
_cell_length_a 6.0654
_cell_length_b 6.0654
_cell_length_c 4.8964
_cell_angle_alpha 90.00
_cell_angle_beta 90.00
_cell_angle_gamma 90.00
_space_group_name_H-M_alt 'P 4/m m m'
_space_group_IT_number 123
_space_group_name_Hall '-P 4 2'
loop_
_atom_site_label
_atom_site_fract_x
_atom_site_fract_y
_atom_site_fract_z
Ba1 0.0000 0.0000 0.0000
Ag1 0.5000 0.5000 0.5000
Cl1 0.0000 0.5000 0.0000
F1 0.0000 0.0000 0.5000

# Tb2Dy3In4, optimized geometry, DFT PBE
# Formation energy   -258 meV per atom
# Energy relative to the lowest polymorph listed for this composition   135 kJ/mol of formula units
data_Tb2Dy3In4
_cell_length_a 7.0611
_cell_length_b 15.9340
_cell_length_c 9.3953
_cell_angle_alpha 90.00
_cell_angle_beta 90.00
_cell_angle_gamma 90.00
_space_group_name_H-M_alt 'C m c e'
_space_group_IT_number 64
_space_group_name_Hall '-C 2ac 2'
loop_
_atom_site_label
_atom_site_fract_x
_atom_site_fract_y
_atom_site_fract_z
Tb1 0.0000 0.1094 0.0614
Dy1 0.0000 0.0000 0.5000
Dy2 0.2500 0.2152 0.7500
In1 0.0000 0.1905 0.4674
In2 0.2500 0.0204 0.7500

# Ca2TaCl, optimized geometry, DFT PBE
# Energy relative to the elements, uncorrected   372 meV per atom
# Energy relative to the lowest polymorph listed for this composition   271 kJ/mol of formula units
data_Ca2TaCl
_cell_length_a 8.0757
_cell_length_b 8.0757
_cell_length_c 7.1521
_cell_angle_alpha 90.00
_cell_angle_beta 90.00
_cell_angle_gamma 90.00
_space_group_name_H-M_alt 'I -4 2 d'
_space_group_IT_number 122
_space_group_name_Hall 'I -4 2bw'
loop_
_atom_site_label
_atom_site_fract_x
_atom_site_fract_y
_atom_site_fract_z
Ca1 0.2009 0.7500 0.1250
Ta1 0.0000 0.0000 0.5000
Cl1 0.0000 0.0000 0.0000

# GaPNO2, optimized geometry, DFT PBE
# Energy relative to the elements, uncorrected   875 meV per atom
data_GaPNO2
_cell_length_a 3.8496
_cell_length_b 3.8496
_cell_length_c 3.6556
_cell_angle_alpha 90.00
_cell_angle_beta 90.00
_cell_angle_gamma 90.00
_space_group_name_H-M_alt 'P 4/m m m'
_space_group_IT_number 123
_space_group_name_Hall '-P 4 2'
loop_
_atom_site_label
_atom_site_fract_x
_atom_site_fract_y
_atom_site_fract_z
Ga1 0.0000 0.0000 0.0000
P1 0.5000 0.5000 0.0000
N1 0.5000 0.5000 0.5000
O1 0.0000 0.5000 0.5000

# PaMn4S8, optimized geometry, DFT PBE
# Energy relative to the elements, uncorrected   -788 meV per atom
data_PaMn4S8
_cell_length_a 6.9428
_cell_length_b 6.9428
_cell_length_c 18.0803
_cell_angle_alpha 90.00
_cell_angle_beta 90.00
_cell_angle_gamma 120.00
_space_group_name_H-M_alt 'R -3 m'
_space_group_IT_number 166
_space_group_name_Hall '-R 3 2"'
loop_
_atom_site_label
_atom_site_fract_x
_atom_site_fract_y
_atom_site_fract_z
Pa1 0.0000 0.0000 0.0000
Mn1 0.0000 0.0000 0.5000
Mn2 0.0000 0.5000 0.5000
S1 0.0000 0.0000 0.2356
S2 0.9996 0.4998 0.2388

# Nd2SbP, optimized geometry, DFT PBE
# Energy relative to the elements, uncorrected   -1233 meV per atom
# Energy relative to the lowest polymorph listed for this composition   39 kJ/mol of formula units
data_Nd2SbP
_cell_length_a 4.2796
_cell_length_b 4.2796
_cell_length_c 22.2335
_cell_angle_alpha 90.00
_cell_angle_beta 90.00
_cell_angle_gamma 120.00
_space_group_name_H-M_alt 'R 3 m'
_space_group_IT_number 160
_space_group_name_Hall 'R 3 -2"'
loop_
_atom_site_label
_atom_site_fract_x
_atom_site_fract_y
_atom_site_fract_z
Nd1 0.0000 0.0000 0.0000
Nd2 0.0000 0.0000 0.1854
Sb1 0.0000 0.0000 0.7600
P1 0.0000 0.0000 0.5913

# DyZrS2, optimized geometry, DFT PBE
# Energy relative to the elements, uncorrected   -1650 meV per atom
# Energy relative to the lowest polymorph listed for this composition   9 kJ/mol of formula units
data_DyZrS2
_cell_length_a 3.6965
_cell_length_b 3.6965
_cell_length_c 19.9605
_cell_angle_alpha 90.00
_cell_angle_beta 90.00
_cell_angle_gamma 120.00
_space_group_name_H-M_alt 'R 3 m'
_space_group_IT_number 160
_space_group_name_Hall 'R 3 -2"'
loop_
_atom_site_label
_atom_site_fract_x
_atom_site_fract_y
_atom_site_fract_z
Dy1 0.0000 0.0000 0.0000
Zr1 0.0000 0.0000 0.1761
S1 0.0000 0.0000 0.5841
S2 0.0000 0.0000 0.7597